1.
# NiHgIr2 (meta-GGA SCAN, single point on PBEsol structure)
data_NiHgIr2
_cell_length_a 2.7590
_cell_length_b 2.7590
_cell_length_c 7.6424
_cell_angle_alpha 90.00
_cell_angle_beta 90.00
_cell_angle_gamma 90.00
_symmetry_space_group_name_H-M 'P 4 m m'
_symmetry_Int_Tables_number 99
loop_
_symmetry_equiv_pos_as_xyz
'x,y,z'
'-y,x,z'
'-x,-y,z'
'y,-x,z'
'-x,y,z'
'y,x,z'
'x,-y,z'
'-y,-x,z'
loop_
_atom_site_label
_atom_site_fract_x
_atom_site_fract_y
_atom_site_fract_z
_atom_site_occupancy
Ni1 0.0000 0.0000 0.0000 1
Hg1 0.5000 0.5000 0.2556 1
Ir1 0.0000 0.0000 0.5473 1
Ir2 0.5000 0.5000 0.7804 1
# - ρ (g/cm³) = 18.37
# - calculated formation energy (eV per atom) = 0.241

2.
# Rb3InOs (meta-GGA SCAN, single point on PBEsol structure)
data_Rb3InOs
_cell_length_a 6.2558
_cell_length_b 6.2558
_cell_length_c 6.2558
_cell_angle_alpha 90.00
_cell_angle_beta 90.00
_cell_angle_gamma 90.00
_symmetry_space_group_name_H-M 'P m -3 m'
_symmetry_Int_Tables_number 221
_symmetry_space_group_name_Hall '-P 4 2 3'
loop_
_atom_site_label
_atom_site_fract_x
_atom_site_fract_y
_atom_site_fract_z
_atom_site_occupancy
Rb1 0.0000 0.0000 0.5000 1
In1 0.5000 0.5000 0.5000 1
Os1 0.0000 0.0000 0.0000 1
# - ρ (g/cm³) = 3.81
# - calculated formation energy (eV per atom) = 1.211

3.
# Nb5VFe2Se20 (meta-GGA SCAN, single point on PBEsol structure)
data_Nb5VFe2Se20
_cell_length_a 6.8284
_cell_length_b 9.8991
_cell_length_c 10.5367
_cell_angle_alpha 117.28
_cell_angle_beta 90.75
_cell_angle_gamma 110.04
_symmetry_space_group_name_H-M 'P 1'
_symmetry_Int_Tables_number 1
loop_
_symmetry_equiv_pos_as_xyz
'x,y,z'
loop_
_atom_site_label
_atom_site_fract_x
_atom_site_fract_y
_atom_site_fract_z
_atom_site_occupancy
Nb1 0.0000 0.0000 0.0000 1
Nb2 0.0148 0.4571 0.2830 1
Nb3 0.3340 0.1844 0.7324 1
Nb4 0.4972 0.0061 0.0027 1
Nb5 0.8354 0.1902 0.7338 1
V1 0.8207 0.7403 0.4591 1
Fe1 0.3859 0.7534 0.4696 1
Fe2 0.4490 0.4434 0.2697 1
Se1 0.0651 0.6352 0.5450 1
Se2 0.1257 0.7558 0.8644 1
Se3 0.1373 0.2436 0.2837 1
Se4 0.1380 0.2950 0.6071 1
Se5 0.1948 0.8872 0.1244 1
Se6 0.2032 0.9247 0.4564 1
Se7 0.2102 0.4321 0.8668 1
Se8 0.3207 0.6077 0.2109 1
Se9 0.3545 0.2226 0.0099 1
Se10 0.4802 0.9700 0.7260 1
Se11 0.5288 0.5953 0.5267 1
Se12 0.6208 0.2638 0.2810 1
Se13 0.6229 0.7589 0.8693 1
Se14 0.6373 0.3012 0.6101 1
Se15 0.6986 0.8999 0.1295 1
Se16 0.7028 0.9428 0.4521 1
Se17 0.7070 0.4336 0.8702 1
Se18 0.7696 0.5724 0.2035 1
Se19 0.8582 0.2178 0.0020 1
Se20 0.9725 0.9697 0.7286 1
# - ρ (g/cm³) = 6.29
# - E (Ry/atom) = -1.6772

4.
# Mn2CrSi (meta-GGA SCAN, single point on PBEsol structure)
data_Mn2CrSi
_cell_length_a 3.8861
_cell_length_b 3.8861
_cell_length_c 2.8080
_cell_angle_alpha 90.00
_cell_angle_beta 90.00
_cell_angle_gamma 90.00
_symmetry_space_group_name_H-M 'P 4/m m m'
_symmetry_Int_Tables_number 123
_symmetry_space_group_name_Hall '-P 4 2'
loop_
_atom_site_label
_atom_site_fract_x
_atom_site_fract_y
_atom_site_fract_z
_atom_site_occupancy
Mn1 0.0000 0.5000 0.0000 1
Cr1 0.0000 0.0000 0.5000 1
Si1 0.5000 0.5000 0.5000 1
# - ρ (g/cm³) = 7.44
# - E (Ry/atom) = -1.2131

5.
# NbHgI2N (meta-GGA SCAN, single point on PBEsol structure)
data_NbHgI2N
_cell_length_a 5.9653
_cell_length_b 5.9653
_cell_length_c 3.9285
_cell_angle_alpha 90.00
_cell_angle_beta 90.00
_cell_angle_gamma 90.00
_symmetry_space_group_name_H-M 'P 4/m m m'
_symmetry_Int_Tables_number 123
_symmetry_space_group_name_Hall '-P 4 2'
loop_
_atom_site_label
_atom_site_fract_x
_atom_site_fract_y
_atom_site_fract_z
_atom_site_occupancy
Nb1 0.0000 0.0000 0.0000 1
Hg1 0.5000 0.5000 0.5000 1
I1 0.0000 0.5000 0.5000 1
N1 0.5000 0.5000 0.0000 1
# - ρ (g/cm³) = 6.67
# - E (Ry/atom) = -2.6094

6.
# Y3PtBr (meta-GGA SCAN, single point on PBEsol structure)
data_Y3PtBr
_cell_length_a 5.1131
_cell_length_b 5.1131
_cell_length_c 5.1131
_cell_angle_alpha 90.00
_cell_angle_beta 90.00
_cell_angle_gamma 90.00
_symmetry_space_group_name_H-M 'P m -3 m'
_symmetry_Int_Tables_number 221
_symmetry_space_group_name_Hall '-P 4 2 3'
loop_
_atom_site_label
_atom_site_fract_x
_atom_site_fract_y
_atom_site_fract_z
_atom_site_occupancy
Y1 0.0000 0.0000 0.5000 1
Pt1 0.5000 0.5000 0.5000 1
Br1 0.0000 0.0000 0.0000 1
# - ρ (g/cm³) = 6.73
# - E (Ry/atom) = -2.5581